No. 1
Compound: Pm6Ga3H2
Source: Alexandria
Functional: GGA-PBE
Structure: optimized geometry

Structure (CIF):
```
data_Pm6Ga3H2
_chemical_formula_sum 'Pm12 Ga6 H4'
_symmetry_space_group_name_H-M 'I 4/m m m'
_symmetry_Int_Tables_number 139
_symmetry_space_group_name_Hall '-I 4 2'
_cell_length_a 4.784
_cell_length_b 4.784
_cell_length_c 23.598
_cell_angle_alpha 90.00
_cell_angle_beta 90.00
_cell_angle_gamma 90.00
loop_
_atom_site_label
_atom_site_type_symbol
_atom_site_fract_x
_atom_site_fract_y
_atom_site_fract_z
Pm1 Pm 0.000 0.000 0.202
Pm2 Pm 0.000 0.500 0.083
Ga1 Ga 0.000 0.000 0.332
Ga2 Ga 0.000 0.000 0.500
H1 H 0.000 0.000 0.102
```

Properties
Uncorrected energy, eV per atom: -4.43
Volume, Å³/f.u.: 270

***

No. 2
Compound: LiNiSn
Source: Alexandria
Functional: GGA-PBE
Structure: optimized geometry

Structure (CIF):
```
data_LiNiSn
_chemical_formula_sum 'Li2 Ni2 Sn2'
_symmetry_space_group_name_H-M 'I 4 m m'
_symmetry_Int_Tables_number 107
_symmetry_space_group_name_Hall 'I 4 -2'
_cell_length_a 3.307
_cell_length_b 3.307
_cell_length_c 8.319
_cell_angle_alpha 90.00
_cell_angle_beta 90.00
_cell_angle_gamma 90.00
loop_
_atom_site_label
_atom_site_type_symbol
_atom_site_fract_x
_atom_site_fract_y
_atom_site_fract_z
Li1 Li 0.000 0.000 0.000
Ni1 Ni 0.000 0.000 0.344
Sn1 Sn 0.000 0.000 0.681
```

Properties
Uncorrected energy, eV per atom: -4.14
Volume, Å³/f.u.: 45
Formation energy from the elements, eV/atom: -0.2386

***

No. 3
Compound: ZrIn2Tc
Source: Alexandria
Functional: GGA-PBE
Structure: optimized geometry

Structure (CIF):
```
data_ZrIn2Tc
_chemical_formula_sum 'Zr2 In4 Tc2'
_symmetry_space_group_name_H-M 'C m m m'
_symmetry_Int_Tables_number 65
_symmetry_space_group_name_Hall '-C 2 2'
_cell_length_a 5.845
_cell_length_b 8.967
_cell_length_c 3.044
_cell_angle_alpha 90.00
_cell_angle_beta 90.00
_cell_angle_gamma 90.00
loop_
_atom_site_label
_atom_site_type_symbol
_atom_site_fract_x
_atom_site_fract_y
_atom_site_fract_z
Zr1 Zr 0.000 0.000 0.000
In1 In 0.250 0.250 0.500
Tc1 Tc 0.000 0.500 0.000
```

Properties
Uncorrected energy, eV per atom: -5.98
Volume, Å³/f.u.: 80
Formation energy from the elements, eV/atom: 0.1194

***

Question: The lowest volume belongs to which entry?
Answer: LiNiSn

***

Question: Look up the volume of the first one.
Answer: 270 Å³/f.u.

***

Question: What is the formula in the second record?
Answer: LiNiSn

***

Copy entry 3 word for word.
Compound: ZrIn2Tc
Source: Alexandria
Functional: GGA-PBE
Structure: optimized geometry

Structure (CIF):
```
data_ZrIn2Tc
_chemical_formula_sum 'Zr2 In4 Tc2'
_symmetry_space_group_name_H-M 'C m m m'
_symmetry_Int_Tables_number 65
_symmetry_space_group_name_Hall '-C 2 2'
_cell_length_a 5.845
_cell_length_b 8.967
_cell_length_c 3.044
_cell_angle_alpha 90.00
_cell_angle_beta 90.00
_cell_angle_gamma 90.00
loop_
_atom_site_label
_atom_site_type_symbol
_atom_site_fract_x
_atom_site_fract_y
_atom_site_fract_z
Zr1 Zr 0.000 0.000 0.000
In1 In 0.250 0.250 0.500
Tc1 Tc 0.000 0.500 0.000
```

Properties
Uncorrected energy, eV per atom: -5.98
Volume, Å³/f.u.: 80
Formation energy from the elements, eV/atom: 0.1194